# 1
The following is a PBE calculation of Ta2Mn5VGa2 after structural relaxation, from the Alexandria database.

For the energy of formation from the pure elements, the calculation gives 0.020 eV per atom. The calculation puts the total magnetic moment at 13.55 Bohr magnetons per cell. The value obtained for the uncorrected energy is -8.452 eV per atom. As for the symmetry: P4/mbm.

Unit cell a=3.3369 b=9.1298 c=9.1298 alpha=90.00 beta=90.00 gamma=90.00
Last column: nearest neighbours and their distance in Å.
Fractional coordinates of all 20 atoms:
Ga: 0.0000 0.8687 0.3687  6 Mn 2.38-2.40, 1 Ta 2.61
Ta: 0.0000 0.1669 0.3331  3 Ga 2.61-2.74, 2 Mn 2.72
Ta: 0.0000 0.3331 0.8331  3 Ga 2.61-2.74, 2 Mn 2.72
Mn: 0.5000 0.5000 0.0000  4 Ga 2.38
Mn: 0.5000 0.0000 0.5000  4 Ga 2.38
Mn: 0.5000 0.6948 0.4430  2 Ga 2.40, 2 V 2.49, 2 Mn 2.62
Mn: 0.5000 0.9430 0.1948  2 Ga 2.40, 2 V 2.49, 2 Mn 2.62
Mn: 0.5000 0.5570 0.6948  2 Ga 2.40, 2 V 2.49, 2 Mn 2.62
V: 0.0000 0.5000 0.5000  8 Mn 2.49
Mn: 0.5000 0.3052 0.5570  2 Ga 2.40, 2 V 2.49, 2 Mn 2.62
Mn: 0.5000 0.8052 0.9430  2 Ga 2.40, 2 V 2.49, 2 Mn 2.62
Ta: 0.0000 0.6669 0.1669  3 Ga 2.61-2.74, 2 Mn 2.72
Mn: 0.5000 0.0570 0.8052  2 Ga 2.40, 2 V 2.49, 2 Mn 2.62
Ta: 0.0000 0.8331 0.6669  3 Ga 2.61-2.74, 2 Mn 2.72
Mn: 0.5000 0.1948 0.0570  2 Ga 2.40, 2 V 2.49, 2 Mn 2.62
Mn: 0.5000 0.4430 0.3052  2 Ga 2.40, 2 V 2.49, 2 Mn 2.62
Ga: 0.0000 0.3687 0.1313  6 Mn 2.38-2.40, 1 Ta 2.61
V: 0.0000 0.0000 0.0000  8 Mn 2.49
Ga: 0.0000 0.1313 0.6313  6 Mn 2.38-2.40, 1 Ta 2.61
Ga: 0.0000 0.6313 0.8687  6 Mn 2.38-2.40, 1 Ta 2.61

# 2
The following is a PBE calculation of Er2PuOs after structural relaxation, from the Alexandria database.

For the energy of formation from the pure elements, the calculation gives -0.083 eV per atom. The calculation puts the total magnetic moment at 6.83 Bohr magnetons per cell. The energy relative to the lowest polymorph listed for this composition is 0 meV/atom. The value obtained for the uncorrected energy is -8.755 eV per atom. As for the symmetry: P4/mmm.

Unit cell a=3.3659 b=3.3659 c=8.8182 alpha=90.00 beta=90.00 gamma=90.00
Last column: nearest neighbours and their distance in Å.
Fractional coordinates of all 4 atoms:
Pu: 0.5000 0.5000 0.5000  4 Pu 3.37, 8 Er 3.64
Er: 0.0000 0.0000 0.1871  4 Os 2.90
Os: 0.5000 0.5000 0.0000  8 Er 2.90
Er: 0.0000 0.0000 0.8129  4 Os 2.90

# 3
The following is a PBE calculation of HoAg8Au5 after structural relaxation, from the Alexandria database.

For the energy of formation from the pure elements, the calculation gives 0.014 eV per atom. The calculation puts the total magnetic moment at 0.00 Bohr magnetons per cell. The value obtained for the uncorrected energy is -3.113 eV per atom. As for the symmetry: I-4.

Unit cell a=7.1292 b=7.1292 c=7.1292 alpha=111.60 beta=105.30 gamma=111.60
Last column: nearest neighbours and their distance in Å.
Fractional coordinates of all 14 atoms:
Au: 0.8645 0.9283 0.2251  8 Ag 2.78-3.02
Ag: 0.6701 0.4048 0.9378  5 Au 2.82-3.02, 3 Ag 2.85-2.97
Au: 0.5000 0.0000 0.5000  8 Ag 2.73-2.89
Au: 0.0637 0.3605 0.1355  8 Ag 2.78-3.02
Ho: 0.2500 0.5000 0.7500  4 Ag 2.91
Ag: 0.9192 0.0528 0.6693  5 Au 2.73-2.87, 3 Ag 2.89-2.97, 1 Ho 2.91
Au: 0.7749 0.6395 0.7032  8 Ag 2.78-3.02
Ag: 0.1336 0.7502 0.0808  5 Au 2.73-2.87, 3 Ag 2.89-2.97, 1 Ho 2.91
Ag: 0.5330 0.5952 0.2653  5 Au 2.82-3.02, 3 Ag 2.85-2.97
Au: 0.2968 0.0717 0.9363  8 Ag 2.78-3.02
Ag: 0.3307 0.2498 0.3834  5 Au 2.73-2.87, 3 Ag 2.89-2.97, 1 Ho 2.91
Ag: 0.6166 0.9472 0.8664  5 Au 2.73-2.87, 3 Ag 2.89-2.97, 1 Ho 2.91
Ag: 0.7347 0.2677 0.3299  5 Au 2.82-3.02, 3 Ag 2.85-2.97
Ag: 0.0622 0.7323 0.4670  5 Au 2.82-3.02, 3 Ag 2.85-2.97

# 4
The following is a PBE calculation of Tm2TlRu after structural relaxation, from the Alexandria database.

For the energy of formation from the pure elements, the calculation gives -0.282 eV per atom. The calculation puts the total magnetic moment at 0.00 Bohr magnetons per cell. The energy relative to the lowest polymorph listed for this composition is 179 meV/atom. The value obtained for the uncorrected energy is -5.428 eV per atom. As for the symmetry: P4/mmm.

Unit cell a=3.6132 b=4.9731 c=4.9731 alpha=90.00 beta=90.00 gamma=90.00
Last column: nearest neighbours and their distance in Å.
Fractional coordinates of all 4 atoms:
Tl: 0.5000 0.5000 0.5000  8 Tm 3.07
Ru: 0.5000 0.0000 0.0000  8 Tm 3.07
Tm: 0.0000 0.0000 0.5000  4 Tl 3.07, 4 Ru 3.07
Tm: 0.0000 0.5000 0.0000  4 Tl 3.07, 4 Ru 3.07

# 5
The following is a PBE calculation of SbP2Os after structural relaxation, from the Alexandria database.

The calculation puts the total magnetic moment at 0.00 Bohr magnetons per cell. As for the uncorrected formation energy: 5.11 kcal/mol of atoms. The value obtained for the uncorrected energy is -6.321 eV per atom. As for the symmetry: P4/mmm.

Unit cell a=2.9364 b=2.9364 c=8.4705 alpha=90.00 beta=90.00 gamma=90.00
Last column: nearest neighbours and their distance in Å.
Fractional coordinates of all 4 atoms:
P: 0.0000 0.0000 0.9247  4 Os 2.55
Sb: 0.5000 0.5000 0.2500  4 Sb 2.94
P: 0.0000 0.0000 0.5753  4 Os 2.55
Os: 0.5000 0.5000 0.7500  8 P 2.55

# 6
The following is a PBE calculation of Ba2HgSb3Pt4 after structural relaxation, from the Alexandria database.

The calculation puts the total magnetic moment at 0.00 Bohr magnetons per cell. As for the uncorrected formation energy: -16.97 kcal/mol of atoms. The value obtained for the uncorrected energy is -4.804 eV per atom. As for the symmetry: P-4m2.

Unit cell a=4.8272 b=4.8272 c=10.6542 alpha=90.00 beta=90.00 gamma=90.00
Last column: nearest neighbours and their distance in Å.
Fractional coordinates of all 10 atoms:
Ba: 0.5000 0.0000 0.2484  8 Pt 3.58-3.66, 2 Hg 3.61, 7 Sb 3.61-3.93
Ba: 0.0000 0.5000 0.7516  8 Pt 3.58-3.66, 7 Sb 3.61-3.93, 2 Hg 3.61
Pt: 0.5000 0.5000 0.0000  4 Sb 2.73
Pt: 0.0000 0.0000 0.0000  4 Sb 2.73
Hg: 0.5000 0.5000 0.5000  4 Pt 2.78
Pt: 0.5000 0.0000 0.6285  3 Sb 2.67-2.78, 2 Hg 2.78
Sb: 0.0000 0.0000 0.5000  4 Pt 2.78
Sb: 0.5000 0.0000 0.8796  5 Pt 2.67-2.73
Pt: 0.0000 0.5000 0.3715  3 Sb 2.67-2.78, 2 Hg 2.78
Sb: 0.0000 0.5000 0.1204  5 Pt 2.67-2.73

# 7
The following is a PBE calculation of MgMn4W after structural relaxation, from the Alexandria database.

For the energy of formation from the pure elements, the calculation gives 0.075 eV per atom. The calculation puts the total magnetic moment at 2.95 Bohr magnetons per cell. The value obtained for the uncorrected energy is -8.463 eV per atom. As for the symmetry: F-43m.

Unit cell a=4.7624 b=4.7624 c=4.7624 alpha=60.00 beta=60.00 gamma=60.00
Last column: nearest neighbours and their distance in Å.
Fractional coordinates of all 6 atoms:
Mn: 0.3745 0.3745 0.3745  6 Mn 2.37-2.39
Mn: 0.3745 0.8764 0.3745  6 Mn 2.37-2.39
W: 0.7500 0.7500 0.7500  12 Mn 2.79, 4 Mg 2.92
Mn: 0.3745 0.3745 0.8764  6 Mn 2.37-2.39
Mg: 0.0000 0.0000 0.0000  12 Mn 2.79, 4 W 2.92
Mn: 0.8764 0.3745 0.3745  6 Mn 2.37-2.39

# 8
The following is a PBE calculation of FeHgSb2 after structural relaxation, from the Alexandria database.

The calculation puts the total magnetic moment at 1.77 Bohr magnetons per cell. As for the uncorrected formation energy: 3.27 kcal/mol of atoms. The value obtained for the uncorrected energy is -4.110 eV per atom. As for the symmetry: R-3m.

Unit cell a=8.9437 b=8.9437 c=8.9437 alpha=22.69 beta=22.69 gamma=22.69
Last column: nearest neighbours and their distance in Å.
Fractional coordinates of all 4 atoms:
Hg: 0.7500 0.7500 0.7500  6 Sb 3.37, 6 Hg 3.52
Sb: 0.5196 0.5196 0.5196  3 Fe 2.63
Fe: 0.2500 0.2500 0.2500  6 Sb 2.63
Sb: 0.9804 0.9804 0.9804  3 Fe 2.63

# 9
The following is a PBE calculation of EuTh2Cu after structural relaxation, from the Alexandria database.

For the energy of formation from the pure elements, the calculation gives 0.281 eV per atom. The calculation puts the total magnetic moment at 7.59 Bohr magnetons per cell. The energy relative to the lowest polymorph listed for this composition is 179 meV/atom. The value obtained for the uncorrected energy is -7.022 eV per atom. As for the symmetry: R-3m.

Unit cell a=3.5362 b=3.5362 c=11.4434 alpha=81.11 beta=81.11 gamma=60.00
Last column: nearest neighbours and their distance in Å.
Fractional coordinates of all 4 atoms:
Th: 0.1034 0.1034 0.6898  3 Cu 2.96
Eu: 0.0000 0.0000 0.0000  2 Th 3.49, 6 Eu 3.54
Th: 0.8966 0.8966 0.3102  3 Cu 2.96
Cu: 0.5000 0.5000 0.5000  6 Th 2.96

# 10
The following is a PBE calculation of Tb2PrDy2Tm2 after structural relaxation, from the Alexandria database.

For the energy of formation from the pure elements, the calculation gives 0.152 eV per atom. The calculation puts the total magnetic moment at 0.00 Bohr magnetons per cell. The value obtained for the uncorrected energy is -4.446 eV per atom. As for the symmetry: C2/m.

Unit cell a=3.4917 b=8.9779 c=8.3544 alpha=116.06 beta=90.00 gamma=101.21
Last column: nearest neighbours and their distance in Å.
Fractional coordinates of all 7 atoms:
Tb: 0.4277 0.8554 0.0865  3 Tb 3.45-3.49, 3 Dy 3.48-3.49, 2 Pr 3.56, 2 Tm 3.59
Tb: 0.5723 0.1446 0.9135  3 Tb 3.45-3.49, 3 Dy 3.48-3.49, 2 Pr 3.56, 2 Tm 3.59
Pr: 0.0000 0.0000 0.5000  2 Dy 3.43, 2 Pr 3.49, 4 Tb 3.56, 4 Tm 3.61
Tm: 0.6499 0.2999 0.3911  3 Dy 3.44-3.52, 4 Tm 3.49-3.61, 2 Tb 3.59, 2 Pr 3.61
Dy: 0.2117 0.4233 0.7965  1 Pr 3.43, 3 Tm 3.44-3.52, 3 Tb 3.48-3.49, 4 Dy 3.49-3.51
Dy: 0.7883 0.5767 0.2035  1 Pr 3.43, 3 Tm 3.44-3.52, 3 Tb 3.48-3.49, 4 Dy 3.49-3.51
Tm: 0.3501 0.7001 0.6089  3 Dy 3.44-3.52, 4 Tm 3.49-3.61, 2 Tb 3.59, 2 Pr 3.61

# 11
The following is a PBE calculation of Tb4ZnPd after structural relaxation, from the Alexandria database.

For the energy of formation from the pure elements, the calculation gives -0.414 eV per atom. The calculation puts the total magnetic moment at 0.00 Bohr magnetons per cell. The energy relative to the lowest polymorph listed for this composition is 0 meV/atom. The value obtained for the uncorrected energy is -4.578 eV per atom. As for the symmetry: F-43m.

Unit cell a=9.5855 b=9.5855 c=9.5855 alpha=60.00 beta=60.00 gamma=60.00
Last column: nearest neighbours and their distance in Å.
Fractional coordinates of all 24 atoms:
Tb: 0.8156 0.1844 0.8156  2 Zn 3.25, 2 Pd 3.49, 10 Tb 3.50-3.59
Tb: 0.5591 0.5591 0.9409  2 Pd 2.88
Pd: 0.6033 0.1902 0.6033  6 Tb 2.88-2.89
Zn: 0.1690 0.1690 0.1690  3 Zn 3.11, 9 Tb 3.20-3.46
Tb: 0.3901 0.3901 0.8296  3 Pd 2.89, 3 Zn 3.20
Pd: 0.6033 0.6033 0.1902  6 Tb 2.88-2.89
Zn: 0.4930 0.1690 0.1690  3 Zn 3.11, 9 Tb 3.20-3.46
Tb: 0.9409 0.5591 0.9409  2 Pd 2.88
Tb: 0.1844 0.1844 0.8156  2 Zn 3.25, 2 Pd 3.49, 10 Tb 3.50-3.59
Zn: 0.1690 0.1690 0.4930  3 Zn 3.11, 9 Tb 3.20-3.46
Tb: 0.9409 0.9409 0.5591  2 Pd 2.88
Tb: 0.5591 0.9409 0.9409  2 Pd 2.88
Pd: 0.6033 0.6033 0.6033  6 Tb 2.88-2.89
Pd: 0.1902 0.6033 0.6033  6 Tb 2.88-2.89
Tb: 0.8156 0.1844 0.1844  2 Zn 3.25, 2 Pd 3.49, 10 Tb 3.50-3.59
Tb: 0.3901 0.3901 0.3901  3 Pd 2.89, 3 Zn 3.20
Tb: 0.9409 0.5591 0.5591  2 Pd 2.88
Tb: 0.3901 0.8296 0.3901  3 Pd 2.89, 3 Zn 3.20
Zn: 0.1690 0.4930 0.1690  3 Zn 3.11, 9 Tb 3.20-3.46
Tb: 0.5591 0.9409 0.5591  2 Pd 2.88
Tb: 0.8296 0.3901 0.3901  3 Pd 2.89, 3 Zn 3.20
Tb: 0.1844 0.8156 0.8156  2 Zn 3.25, 2 Pd 3.49, 10 Tb 3.50-3.59
Tb: 0.1844 0.8156 0.1844  2 Zn 3.25, 2 Pd 3.49, 10 Tb 3.50-3.59
Tb: 0.8156 0.8156 0.1844  2 Zn 3.25, 2 Pd 3.49, 10 Tb 3.50-3.59

# 12
The following is a PBE calculation of Nd5Al3 after structural relaxation, from the Alexandria database.

For the energy of formation from the pure elements, the calculation gives -0.261 eV per atom. The calculation puts the total magnetic moment at 0.15 Bohr magnetons per cell. The value obtained for the uncorrected energy is -4.644 eV per atom. As for the symmetry: I4/mcm.

Unit cell a=5.9016 b=9.2835 c=9.2835 alpha=84.20 beta=71.47 gamma=71.47
Last column: nearest neighbours and their distance in Å.
Fractional coordinates of all 16 atoms:
Nd: 0.9149 0.8654 0.3048  6 Al 3.25-3.44, 3 Nd 3.44-3.63
Al: 0.8393 0.5000 0.8215  10 Nd 3.19-3.44
Nd: 0.2500 0.5000 0.5000  2 Nd 2.95, 4 Al 3.19
Al: 0.1607 0.5000 0.1785  10 Nd 3.19-3.44
Nd: 0.5851 0.6952 0.1346  6 Al 3.25-3.44, 3 Nd 3.44-3.63
Nd: 0.0851 0.1346 0.6952  6 Al 3.25-3.44, 3 Nd 3.44-3.63
Nd: 0.4149 0.3048 0.8654  6 Al 3.25-3.44, 3 Nd 3.44-3.63
Al: 0.3393 0.8215 0.5000  10 Nd 3.19-3.44
Nd: 0.2197 0.6952 0.8654  6 Al 3.25-3.44, 3 Nd 3.44-3.63
Nd: 0.2803 0.1346 0.3048  6 Al 3.25-3.44, 3 Nd 3.44-3.63
Al: 0.7500 0.0000 0.0000  2 Al 2.95, 8 Nd 3.28
Al: 0.2500 0.0000 0.0000  2 Al 2.95, 8 Nd 3.28
Nd: 0.7197 0.8654 0.6952  6 Al 3.25-3.44, 3 Nd 3.44-3.63
Nd: 0.7803 0.3048 0.1346  6 Al 3.25-3.44, 3 Nd 3.44-3.63
Nd: 0.7500 0.5000 0.5000  2 Nd 2.95, 4 Al 3.19
Al: 0.6607 0.1785 0.5000  10 Nd 3.19-3.44

- The highest total magnetic moment belongs to which entry?
  Ta2Mn5VGa2